1.
VASP calculation (PBE) on a relaxed LiScSi2Pt2 crystal.

It has space group P-3m1 (No. 164), with a = 4.2191 Å, b = 4.2191 Å, c = 6.0166 Å, α = 90.00°, β = 90.00° and γ = 120.00°. The asymmetric unit holds Li at (0.0000, 0.0000, 0.0000), Sc at (0.0000, 0.0000, 0.5000), Si at (0.3333, 0.6667, 0.7938) and Pt at (0.3333, 0.6667, 0.2248).

The calculation puts the formation energy from raw total energies at -0.9331 eV/atom.


2.
VASP calculation (PBE) on a relaxed Ac2TlGePb crystal.

It has space group P2_1/m (No. 11), with a = 8.352 Å, b = 4.652 Å, c = 9.546 Å, α = 90.00°, β = 109.78° and γ = 90.00°. The asymmetric unit holds Ac at (0.147, 0.250, 0.393), Ac at (0.252, 0.250, 0.983), Tl at (0.474, 0.750, 0.335), Ge at (0.140, 0.750, 0.160) and Pb at (0.298, 0.750, 0.718).

The calculated total energy comes out at -42.12 eV for the cell shown.


Computed magnetic moment (μB per formula unit) in order:
0.00, 0.00